i.
A geometry-optimized Ni3WF structure, computed with PBE+U.

Cell lengths 4.6212, 4.6212, 4.6212 Å; angles 90.00, 90.00, 90.00 degrees
Space group Pm-3m (No. 221)
Asymmetric unit:
Ni (0.0000, 0.0000, 0.5000) x3
W (0.0000, 0.0000, 0.0000) x1
F (0.5000, 0.5000, 0.5000) x1

Density   6.4 g cm⁻³
DOS at the Fermi energy   0.511 states/eV per atom

***

ii.
A geometry-optimized Ni3WF structure, computed with PBE+U.

Cell lengths 4.1444, 4.1444, 4.1444 Å; angles 90.00, 90.00, 90.00 degrees
Space group Pm-3m (No. 221)
Asymmetric unit:
Ni (0.0000, 0.0000, 0.5000) x3
W (0.5000, 0.5000, 0.5000) x1
F (0.0000, 0.0000, 0.0000) x1

Density   8.8 g cm⁻³
DOS at the Fermi energy   0.145 states/eV per atom

***

Energies relative to the most stable structure, in eV/atom: i 1.511; ii 0.000.